1.
5
Lattice="4.172 0.000 0.000 0.000 4.172 0.000 0.000 0.000 4.172" Properties=species:S:1:pos:R:3 comment="BeP3H (GGA-PBE, relaxed)" n_ef_per_ev_cell=1.84 total_magnetization_mub_per_atom=0.00 e_above_lowest_polymorph_mev_per_atom=842.5 mass_density_g_cm3=2.4 pbc="T T T"
Be 0.000 0.000 0.000
P 0.000 2.086 0.000
P 0.000 0.000 2.086
P 2.086 0.000 0.000
H 2.086 2.086 2.086

***

2.
12
Lattice="6.187 0.000 0.001 0.000 5.508 0.000 -0.032 0.000 5.005" Properties=species:S:1:pos:R:3 comment="BePH (GGA-PBE, relaxed)" n_ef_per_ev_cell=0.00 total_magnetization_mub_per_atom=0.00 e_above_lowest_polymorph_mev_per_atom=0.0 mass_density_g_cm3=1.6 pbc="T T T"
P 1.093 0.000 1.002
Be -0.016 1.171 2.502
Be 0.000 3.925 0.000
P 5.062 0.000 4.003
H 2.467 0.000 1.363
P 5.078 2.754 1.501
H 3.705 2.754 1.140
Be 0.000 1.583 0.000
P 1.077 2.754 3.504
H 3.689 0.000 3.643
H 2.451 2.754 3.865
Be -0.016 4.337 2.502

***

3.
12
Lattice="5.510 0.000 0.000 0.000 5.601 0.000 0.000 0.000 4.830" Properties=species:S:1:pos:R:3 comment="BePH (GGA-PBE, relaxed)" n_ef_per_ev_cell=0.00 total_magnetization_mub_per_atom=0.00 e_above_lowest_polymorph_mev_per_atom=318.5 mass_density_g_cm3=1.8 pbc="T T T"
P 4.220 1.400 1.911
Be 0.000 2.801 0.000
Be 2.755 2.801 2.415
H 5.191 1.400 2.984
H 0.319 4.201 1.847
P 1.465 1.400 0.504
H 2.436 1.400 4.262
H 3.074 4.201 0.569
Be 2.755 0.000 2.415
P 1.290 4.201 2.919
P 4.045 4.201 4.326
Be 0.000 0.000 0.000

***

4.
9
Lattice="3.784 0.000 2.185 1.261 3.567 2.184 0.000 0.000 4.369" Properties=species:S:1:pos:R:3 comment="Be2PH6 (GGA-PBE, relaxed)" n_ef_per_ev_cell=1.41 total_energy_ev_per_atom=-2.870 total_magnetization_mub_per_atom=0.00 mass_density_g_cm3=1.6 pbc="T T T"
H 3.757 2.657 4.369
H 3.140 0.910 5.438
P 0.000 0.000 0.000
H 3.140 0.910 3.300
Be 1.261 0.892 2.184
H 1.905 2.657 5.438
Be 3.784 2.675 6.553
H 1.905 2.657 3.299
H 1.288 0.910 4.369

***

5.
5
Lattice="-0.049 4.033 -0.086 -1.018 0.071 3.903 3.904 0.069 1.017" Properties=species:S:1:pos:R:3 comment="Be3PH (GGA-PBE, relaxed)" n_ef_per_ev_cell=3.18 total_magnetization_mub_per_atom=0.00 e_above_lowest_polymorph_mev_per_atom=629.2 mass_density_g_cm3=1.5 pbc="T T T"
Be -0.509 0.035 1.952
Be 1.952 0.034 0.508
H 1.419 2.086 2.417
Be -0.024 2.017 -0.043
P 0.000 0.000 0.000

***

6.
5
Lattice="-3.251 0.748 -0.777 -0.861 -0.317 3.300 0.649 3.327 0.489" Properties=species:S:1:pos:R:3 comment="BePH3 (GGA-PBE, relaxed)" n_ef_per_ev_cell=1.14 total_magnetization_mub_per_atom=0.00 e_above_lowest_polymorph_mev_per_atom=988.2 mass_density_g_cm3=1.8 pbc="T T T"
H -0.431 -0.158 1.650
Be -1.732 1.879 1.506
H -1.625 0.374 -0.388
P 0.000 0.000 0.000
H 0.324 1.664 0.244

***

7.
5
Lattice="3.241 0.000 0.000 0.000 3.241 0.000 0.000 0.000 3.241" Properties=species:S:1:pos:R:3 comment="BePH3 (GGA-PBE, relaxed)" n_ef_per_ev_cell=1.49 total_magnetization_mub_per_atom=0.00 e_above_lowest_polymorph_mev_per_atom=890.9 mass_density_g_cm3=2.1 pbc="T T T"
H 0.000 1.620 0.000
P 1.620 1.620 1.620
H 0.000 0.000 1.620
H 1.620 0.000 0.000
Be 0.000 0.000 0.000

***

8.
12
Lattice="-0.173 -3.171 -4.585 0.937 -2.940 1.997 -7.728 0.946 5.017" Properties=species:S:1:pos:R:3 comment="BePH (GGA-PBE, relaxed)" total_magnetization_mub_per_atom=0.00 e_above_lowest_polymorph_mev_per_atom=74.6 mass_density_g_cm3=1.6 pbc="T T T"
H -6.071 -3.079 1.698
P -7.453 -0.657 2.528
P -3.941 -1.621 2.843
H -2.675 -2.082 -1.810
Be -2.642 -1.257 -0.611
Be -7.073 -0.583 5.841
H -4.299 -3.275 0.577
P -3.121 -2.600 1.018
Be -6.038 -2.254 2.897
H -0.903 -2.279 -2.930
Be -3.678 0.414 2.334
P -0.545 -0.625 -0.664

***

9.
10
Lattice="-2.452 -1.383 -3.891 0.907 -3.769 3.634 -2.560 3.268 3.317" Properties=species:S:1:pos:R:3 comment="Be2PH2 (GGA-PBE, relaxed)" n_ef_per_ev_cell=0.08 total_energy_ev_per_atom=-3.770 total_magnetization_mub_per_atom=0.00 mass_density_g_cm3=1.6 pbc="T T T"
H -0.772 -2.576 -0.128
Be -2.875 -0.598 -1.415
Be -0.950 -1.324 0.594
Be -1.230 -1.287 4.476
H -1.280 1.634 1.659
P 0.083 -3.686 2.642
H -0.827 -0.250 3.476
H -2.052 -0.942 1.530
P -4.188 1.802 0.419
Be -3.155 -0.560 2.467

***

10.
12
Lattice="5.986 0.000 0.000 0.000 3.148 0.000 0.000 0.000 6.581" Properties=species:S:1:pos:R:3 comment="BePH (GGA-PBE, relaxed)" n_ef_per_ev_cell=1.70 total_magnetization_mub_per_atom=0.00 e_above_lowest_polymorph_mev_per_atom=494.1 mass_density_g_cm3=2.2 pbc="T T T"
Be 0.673 2.361 1.240
P 4.765 0.787 0.849
H 5.038 0.787 3.821
P 1.221 2.361 5.732
Be 3.666 2.361 2.050
Be 2.320 0.787 4.531
P 1.772 0.787 2.441
H 3.941 2.361 0.531
Be 5.313 0.787 5.341
H 0.948 2.361 2.760
H 2.045 0.787 6.050
P 4.214 2.361 4.140

***

11.
6
Lattice="3.784 0.000 0.000 1.817 4.402 0.001 1.413 0.235 4.768" Properties=species:S:1:pos:R:3 comment="BePH (GGA-PBE, relaxed)" total_magnetization_mub_per_atom=0.00 e_above_lowest_polymorph_mev_per_atom=88.1 mass_density_g_cm3=1.7 pbc="T T T"
P 2.502 3.948 2.326
Be 4.464 1.212 0.922
P 2.572 2.293 0.861
Be 3.715 3.929 4.093
H 2.165 0.912 4.319
H 4.925 3.761 2.797

***

12.
12
Lattice="6.310 0.000 0.363 0.000 7.402 0.000 -2.364 0.000 2.878" Properties=species:S:1:pos:R:3 comment="BePH (GGA-PBE, relaxed)" total_magnetization_mub_per_atom=0.00 e_above_lowest_polymorph_mev_per_atom=39.2 mass_density_g_cm3=1.9 pbc="T T T"
H 1.125 7.207 2.131
P 3.651 1.125 1.791
H 2.820 0.195 1.110
H 4.280 3.896 2.312
Be 5.679 0.881 1.047
H -0.335 3.506 0.929
P 0.295 6.277 1.450
P 0.496 2.576 1.610
P 3.449 4.825 1.631
Be 2.524 2.820 0.866
Be 1.421 4.582 2.375
Be -1.734 6.521 2.194